Entry 1:
# SrLi3ReN3

A relaxed structure of SrLi3ReN3 (GGA-PBE, OQMD via LeMat-Bulk). Values from VASP.

Quantum ESPRESSO input file:
```
&SYSTEM
  ibrav = 0, nat = 16, ntyp = 4
/
ATOMIC_SPECIES
N 14.01 N.upf
Sr 87.62 Sr.upf
Li 6.94 Li.upf
Re 186.21 Re.upf
ATOMIC_POSITIONS crystal
N 0.902 0.215 0.603
Sr 0.663 0.663 0.663
N 0.098 0.785 0.397
Li 0.526 0.762 0.107
N 0.785 0.397 0.098
N 0.603 0.902 0.215
Li 0.893 0.474 0.238
Li 0.238 0.893 0.474
N 0.215 0.603 0.902
Li 0.474 0.238 0.893
Re 0.061 0.061 0.061
Li 0.762 0.107 0.526
Re 0.939 0.939 0.939
Li 0.107 0.526 0.762
Sr 0.337 0.337 0.337
N 0.397 0.098 0.785
CELL_PARAMETERS angstrom
-7.319 0.114 0.314
-4.756 4.127 3.746
-4.992 4.951 -2.061
```

=====

Entry 2:
# Li5Sm3N3

A relaxed structure of Li5Sm3N3 (GGA-PBE, OQMD via LeMat-Bulk). Values from VASP.

Quantum ESPRESSO input file:
```
&SYSTEM
  ibrav = 0, nat = 11, ntyp = 3
/
ATOMIC_SPECIES
Li 6.94 Li.upf
Sm 150.36 Sm.upf
N 14.01 N.upf
ATOMIC_POSITIONS crystal
Li 0.000 0.290 0.000
Sm 0.337 0.337 0.500
Sm 0.663 0.000 0.500
N 0.387 0.387 0.000
N 0.613 0.000 0.000
Li 0.290 0.000 0.000
N 0.000 0.613 0.000
Li 0.710 0.710 0.000
Li 0.667 0.333 0.000
Li 0.333 0.667 0.000
Sm 0.000 0.663 0.500
CELL_PARAMETERS angstrom
6.586 0.000 0.000
-3.293 5.704 0.000
0.000 0.000 4.652
```

=====

Entry 3:
# Sr2LiTm2N3

A relaxed structure of Sr2LiTm2N3 (GGA-PBE, OQMD via LeMat-Bulk). Values from VASP.

Quantum ESPRESSO input file:
```
&SYSTEM
  ibrav = 0, nat = 16, ntyp = 4
/
ATOMIC_SPECIES
N 14.01 N.upf
Tm 168.93 Tm.upf
Sr 87.62 Sr.upf
Li 6.94 Li.upf
ATOMIC_POSITIONS crystal
N 0.009 0.733 0.494
Tm 0.455 0.744 0.020
Sr 0.737 0.918 0.608
Li 0.841 0.159 0.250
N 0.991 0.267 0.506
Li 0.159 0.841 0.750
Sr 0.082 0.263 0.892
N 0.267 0.991 0.006
Sr 0.263 0.082 0.392
N 0.512 0.488 0.250
Tm 0.256 0.545 0.480
N 0.488 0.512 0.750
Tm 0.545 0.256 0.980
Sr 0.918 0.737 0.108
N 0.733 0.009 0.994
Tm 0.744 0.455 0.520
CELL_PARAMETERS angstrom
-0.536 3.422 5.882
-4.839 -4.814 0.069
4.439 -4.126 2.560
```

=====

Mass density (computed, g cm⁻³): 5.77, 5.02, 6.37
E_tot (computed, eV per atom): -6.25, -4.94, -5.69